DFT (PBE) results for crystalline TaCd2HRh at its relaxed geometry.

Summary:
E in eV per atom: -3.92
Volume in Å³/atom: 19.0

Cell and atoms, written as CIF:
```
data_TaCd2HRh
_chemical_formula_sum 'Ta1 Cd2 H1 Rh1'
_symmetry_space_group_name_H-M 'P 1'
_symmetry_Int_Tables_number 1
_cell_length_a 5.3433
_cell_length_b 3.3220
_cell_length_c 5.3433
_cell_angle_alpha 90.00
_cell_angle_beta 90.00
_cell_angle_gamma 90.00
loop_
_symmetry_equiv_pos_as_xyz
'x,y,z'
loop_
_atom_site_label
_atom_site_fract_x
_atom_site_fract_y
_atom_site_fract_z
H1 0.0000 0.5000 0.0000
Cd1 0.0000 0.0000 0.5000
Cd2 0.5000 0.0000 0.0000
Rh1 0.5000 0.5000 0.5000
Ta1 0.0000 0.0000 0.0000
```